DFT (PBE) results for a relaxed structure of La6IrPb2.

a = 4.371 Å, b = 15.100 Å, c = 8.730 Å
α = 90.00°, β = 90.00°, γ = 90.00°
Space group Amm2 (No. 38)
Inequivalent atoms, fractional coordinates:
La: 0.000 0.000 0.000 [2 per cell]
La: 0.000 0.118 0.645 [4 per cell]
La: 0.500 0.000 0.359 [2 per cell]
La: 0.500 0.202 0.965 [4 per cell]
Ir: 0.500 0.000 0.765 [2 per cell]
Pb: 0.000 0.167 0.263 [4 per cell]

Calculated values
Calculated formation energy in meV per atom: -526
Density of states at the Fermi level in states/eV/f.u.: 12.90
E_tot in eV for the cell shown: -101.15

---

DFT (PBE) results for a relaxed structure of La2IrPb.

a = 4.403 Å, b = 4.403 Å, c = 6.574 Å
α = 90.00°, β = 90.00°, γ = 90.00°
Space group P4mm (No. 99)
Inequivalent atoms, fractional coordinates:
La: 0.000 0.000 0.000 [1 per cell]
La: 0.500 0.500 0.375 [1 per cell]
Ir: 0.500 0.500 0.971 [1 per cell]
Pb: 0.000 0.000 0.511 [1 per cell]

Calculated values
Calculated formation energy in meV per atom: -346
Density of states at the Fermi level in states/eV/f.u.: 3.11
E_tot in eV for the cell shown: -23.81